Compound: RbBrN2O
Source: Alexandria via LeMat-Bulk
Functional: meta-GGA SCAN
Structure: single point on PBEsol structure

Cell: 5.577 5.577 5.143 Å, 90.00 90.00 90.00°
Fractional coordinates of all 5 atoms:
Rb 0.000 0.000 0.000
Br 0.500 0.500 0.500
N 0.000 0.500 0.000
N 0.500 0.000 0.000
O 0.000 0.000 0.500

Summary:
calculated volume = 160 Å³/f.u.
formation energy from raw total energies = 1821 meV per atom
N(E_F) = 1.3 states/eV per cell
symmetry = No. 123
electronic total energy = -11.181 eV per atom


Compound: ScBrNO2
Source: Alexandria via LeMat-Bulk
Functional: meta-GGA SCAN
Structure: single point on PBEsol structure

Cell: 3.974 3.974 3.904 Å, 90.00 90.00 90.00°
Fractional coordinates of all 5 atoms:
Sc 0.000 0.000 0.000
Br 0.500 0.500 0.500
N 0.500 0.500 0.000
O 0.000 0.500 0.500
O 0.500 0.000 0.500

Summary:
calculated volume = 62 Å³/f.u.
formation energy from raw total energies = 180 meV per atom
N(E_F) = 2.0 states/eV per cell
symmetry = No. 123
electronic total energy = -10.910 eV per atom


Compound: WBrN2O
Source: Alexandria via LeMat-Bulk
Functional: meta-GGA SCAN
Structure: single point on PBEsol structure

Cell: 4.049 4.049 3.810 Å, 90.00 90.00 90.00°
Fractional coordinates of all 5 atoms:
W 0.000 0.000 0.000
Br 0.500 0.500 0.500
N 0.000 0.500 0.000
N 0.500 0.000 0.000
O 0.000 0.000 0.500

Summary:
calculated volume = 62 Å³/f.u.
formation energy from raw total energies = 305 meV per atom
N(E_F) = 2.9 states/eV per cell
symmetry = No. 123
electronic total energy = -22.487 eV per atom


Compound: ZrBrN2O
Source: Alexandria via LeMat-Bulk
Functional: meta-GGA SCAN
Structure: single point on PBEsol structure

Cell: 3.868 3.868 3.930 Å, 90.00 90.00 90.00°
Fractional coordinates of all 5 atoms:
Zr 0.000 0.000 0.000
Br 0.500 0.500 0.500
N 0.000 0.500 0.500
N 0.500 0.000 0.500
O 0.500 0.500 0.000

Summary:
calculated volume = 59 Å³/f.u.
formation energy from raw total energies = 928 meV per atom
N(E_F) = 2.2 states/eV per cell
symmetry = No. 123
electronic total energy = -14.067 eV per atom


Compound: Os3BrN
Source: Alexandria via LeMat-Bulk
Functional: meta-GGA SCAN
Structure: single point on PBEsol structure

Cell: 4.096 4.096 4.096 Å, 90.00 90.00 90.00°
Fractional coordinates of all 5 atoms:
Os 0.000 0.000 0.500
Os 0.000 0.500 0.000
Os 0.500 0.000 0.000
Br 0.500 0.500 0.500
N 0.000 0.000 0.000

Summary:
calculated volume = 69 Å³/f.u.
formation energy from raw total energies = 1779 meV per atom
N(E_F) = 5.1 states/eV per cell
symmetry = No. 221
electronic total energy = -47.099 eV per atom


Compound: TeOsBrN2
Source: Alexandria via LeMat-Bulk
Functional: meta-GGA SCAN
Structure: single point on PBEsol structure

Cell: 3.868 3.868 5.681 Å, 90.00 90.00 90.00°
Fractional coordinates of all 5 atoms:
Te 0.000 0.000 0.000
Os 0.000 0.000 0.500
Br 0.500 0.500 0.000
N 0.000 0.500 0.500
N 0.500 0.000 0.500

Summary:
calculated volume = 85 Å³/f.u.
formation energy from raw total energies = 726 meV per atom
N(E_F) = 1.6 states/eV per cell
symmetry = No. 123
electronic total energy = -28.709 eV per atom


Compound: Te2OsBrN
Source: Alexandria via LeMat-Bulk
Functional: meta-GGA SCAN
Structure: single point on PBEsol structure

Cell: 5.482 5.482 3.643 Å, 90.00 90.00 90.00°
Fractional coordinates of all 5 atoms:
Te 0.000 0.500 0.000
Te 0.500 0.000 0.000
Os 0.000 0.000 0.000
Br 0.500 0.500 0.500
N 0.000 0.000 0.500

Summary:
calculated volume = 109 Å³/f.u.
formation energy from raw total energies = 412 meV per atom
N(E_F) = 3.3 states/eV per cell
symmetry = No. 123
electronic total energy = -34.615 eV per atom


Compound: ZnOsBr2N
Source: Alexandria via LeMat-Bulk
Functional: meta-GGA SCAN
Structure: single point on PBEsol structure

Cell: 5.237 5.237 3.568 Å, 90.00 90.00 90.00°
Fractional coordinates of all 5 atoms:
Zn 0.000 0.000 0.000
Os 0.500 0.500 0.500
Br 0.000 0.500 0.000
Br 0.500 0.000 0.000
N 0.000 0.000 0.500

Summary:
calculated volume = 98 Å³/f.u.
formation energy from raw total energies = 1431 meV per atom
N(E_F) = 1.4 states/eV per cell
symmetry = No. 123
electronic total energy = -25.290 eV per atom